The following is a PBE-GGA calculation of an optimized crystal structure of Pm2Tm4Al, from the Alexandria database.

a b c (Å): 19.051 19.051 19.051
angles (deg): 10.77 10.77 10.77
Element x y z (fractional)
Pm (0.194, 0.194, 0.194)
Pm (0.806, 0.806, 0.806)
Tm (0.089, 0.089, 0.089)
Tm (0.294, 0.294, 0.294)
Tm (0.706, 0.706, 0.706)
Tm (0.911, 0.911, 0.911)
Al (0.000, 0.000, 0.000)

Properties
Symmetry   No. 166
Total moment   0.43 Bohr magnetons per cell
V   29.98 Å³ per atom
Formation energy from the elements   -0.03 eV/atom

---

The following is a PBE-GGA calculation of an optimized crystal structure of Tb6Pm3NdTm2, from the Alexandria database.

a b c (Å): 6.199 6.199 11.873
angles (deg): 94.98 94.98 119.97
Element x y z (fractional)
Tb (0.083, 0.417, 0.752)
Tb (0.248, 0.248, 0.247)
Tb (0.417, 0.083, 0.752)
Tb (0.583, 0.917, 0.248)
Tb (0.752, 0.752, 0.753)
Tb (0.917, 0.583, 0.248)
Pm (0.000, 0.000, 0.500)
Pm (0.333, 0.667, 0.500)
Pm (0.667, 0.333, 0.500)
Nd (0.500, 0.500, 0.000)
Tm (0.167, 0.833, 0.000)
Tm (0.833, 0.167, 0.000)

Properties
Symmetry   No. 12
Total moment   0.00 Bohr magnetons per cell
V   32.44 Å³ per atom
Formation energy from the elements   0.02 eV/atom

---

The following is a PBE-GGA calculation of an optimized crystal structure of PmPrGa, from the Alexandria database.

a b c (Å): 7.264 7.264 7.264
angles (deg): 151.45 151.45 40.81
Element x y z (fractional)
Pm (0.000, 0.000, 0.000)
Pr (0.286, 0.286, 0.000)
Ga (0.639, 0.639, 0.000)

Properties
Symmetry   No. 107
ΔE to the lowest computed polymorph   0.22 eV per formula unit
Total moment   0.00 Bohr magnetons per cell
V   29.12 Å³ per atom
Formation energy from the elements   -0.33 eV/atom